First-principles (PBE) data for a geometry-optimized La2NdSm structure, as listed in the Alexandria database.

Cell lengths 5.893, 5.893, 5.893 Å; angles 60.00, 60.00, 60.00 degrees
Sites, in units of the cell vectors:
La 0.250 0.250 0.250
La 0.750 0.750 0.750
Nd 0.000 0.000 0.000
Sm 0.500 0.500 0.500

Output
Density in g/cm3: 6.57
E_form in eV/atom: 0.1158
Space-group type: Fm-3m